No. 1
{"formula": "La3PrEr4", "functional": "GGA-PBE", "state": "optimized geometry", "lattice_angstrom": [[11.646, 0.000, 0.000], [0.000, 7.327, 0.000], [0.000, 0.000, 6.345]], "species": ["La", "La", "La", "La", "La", "La", "Pr", "Pr", "Er", "Er", "Er", "Er", "Er", "Er", "Er", "Er"], "frac_coords": [[0.000, 0.129, 0.000], [0.249, 0.127, 0.333], [0.251, 0.873, 0.833], [0.500, 0.871, 0.500], [0.749, 0.873, 0.833], [0.751, 0.127, 0.333], [0.000, 0.869, 0.502], [0.500, 0.131, 0.002], [0.000, 0.381, 0.502], [0.000, 0.620, 0.004], [0.250, 0.381, 0.833], [0.250, 0.619, 0.333], [0.500, 0.380, 0.504], [0.500, 0.619, 0.002], [0.750, 0.381, 0.833], [0.750, 0.619, 0.333]], "e_above_lowest_polymorph_mev_per_atom": 0.0, "formation_enthalpy_0k_ev_per_atom": 0.03, "mass_density_g_cm3": 7.53, "spacegroup": "No. 31"}


No. 2
{"formula": "SmGa2CuPt4", "functional": "GGA-PBE", "state": "optimized geometry", "lattice_angstrom": [[2.151, 1.242, 8.656], [-2.151, 1.242, 8.656], [0.000, -2.484, 8.656]], "species": ["Sm", "Ga", "Ga", "Cu", "Pt", "Pt", "Pt", "Pt"], "frac_coords": [[0.000, 0.000, 0.000], [0.239, 0.239, 0.239], [0.761, 0.761, 0.761], [0.500, 0.500, 0.500], [0.132, 0.132, 0.132], [0.403, 0.403, 0.403], [0.597, 0.597, 0.597], [0.868, 0.868, 0.868]], "formation_enthalpy_0k_ev_per_atom": -0.70, "mass_density_g_cm3": 13.56, "spacegroup": "No. 166"}


No. 3
{"formula": "AlAg4", "functional": "GGA-PBE", "state": "optimized geometry", "lattice_angstrom": [[2.896, 0.000, 0.000], [-0.005, 4.128, 0.000], [-1.379, -2.020, 7.275]], "species": ["Al", "Ag", "Ag", "Ag", "Ag"], "frac_coords": [[0.000, 0.000, 0.000], [0.198, 0.199, 0.397], [0.401, 0.402, 0.807], [0.599, 0.598, 0.193], [0.802, 0.801, 0.603]], "formation_enthalpy_0k_ev_per_atom": -0.02, "mass_density_g_cm3": 8.75, "spacegroup": "No. 2"}


No. 4
{"formula": "Th4PtPb", "functional": "GGA-PBE", "state": "optimized geometry", "lattice_angstrom": [[4.379, -7.061, 0.000], [4.379, 7.061, 0.000], [-2.151, 0.000, 5.710]], "species": ["Th", "Th", "Th", "Th", "Th", "Th", "Th", "Th", "Pt", "Pt", "Pb", "Pb"], "frac_coords": [[0.085, 0.715, 0.939], [0.207, 0.382, 0.648], [0.285, 0.915, 0.561], [0.382, 0.207, 0.148], [0.618, 0.793, 0.852], [0.715, 0.085, 0.439], [0.793, 0.618, 0.352], [0.915, 0.285, 0.061], [0.013, 0.987, 0.250], [0.987, 0.013, 0.750], [0.384, 0.616, 0.250], [0.616, 0.384, 0.750]], "formation_enthalpy_0k_ev_per_atom": -0.40, "mass_density_g_cm3": 12.51, "spacegroup": "No. 15"}


No. 5
{"formula": "Er4ZnRh5", "functional": "GGA-PBE", "state": "optimized geometry", "lattice_angstrom": [[3.350, 0.000, 0.000], [0.000, 3.350, 0.000], [0.000, 0.000, 16.348]], "species": ["Er", "Er", "Er", "Er", "Zn", "Rh", "Rh", "Rh", "Rh", "Rh"], "frac_coords": [[0.000, 0.000, 0.105], [0.000, 0.000, 0.315], [0.000, 0.000, 0.685], [0.000, 0.000, 0.895], [0.000, 0.000, 0.500], [0.500, 0.500, 0.000], [0.500, 0.500, 0.208], [0.500, 0.500, 0.415], [0.500, 0.500, 0.585], [0.500, 0.500, 0.792]], "formation_enthalpy_0k_ev_per_atom": -0.83, "mass_density_g_cm3": 11.31, "spacegroup": "No. 123"}


No. 6
{"formula": "AgTeI2", "functional": "GGA-PBE", "state": "optimized geometry", "lattice_angstrom": [[2.147, 1.239, 9.268], [-2.147, 1.239, 9.268], [0.000, -2.479, 9.268]], "species": ["Ag", "Te", "I", "I"], "frac_coords": [[0.000, 0.000, 0.000], [0.500, 0.500, 0.500], [0.394, 0.394, 0.394], [0.606, 0.606, 0.606]], "e_above_lowest_polymorph_mev_per_atom": 0.0, "e_form_raw_kj_per_mol_atoms": 4.0, "mass_density_g_cm3": 5.49, "spacegroup": "No. 166"}


No. 7
{"formula": "PaCrSi2W", "functional": "GGA-PBE", "state": "optimized geometry", "lattice_angstrom": [[-1.964, 1.964, 5.466], [1.964, -1.964, 5.466], [1.964, 1.964, -5.466]], "species": ["Pa", "Cr", "Si", "Si", "W"], "frac_coords": [[0.000, 0.000, 0.000], [0.750, 0.250, 0.500], [0.391, 0.391, 0.000], [0.609, 0.609, 0.000], [0.250, 0.750, 0.500]], "e_form_raw_kj_per_mol_atoms": -31.4, "mass_density_g_cm3": 10.30, "spacegroup": "No. 119"}


No. 8
{"formula": "CdPdO2F", "functional": "GGA-PBE", "state": "optimized geometry", "lattice_angstrom": [[4.047, 0.000, 0.000], [0.000, 4.047, 0.000], [0.000, 0.000, 4.078]], "species": ["Cd", "Pd", "O", "O", "F"], "frac_coords": [[0.000, 0.000, 0.000], [0.500, 0.500, 0.500], [0.000, 0.500, 0.500], [0.500, 0.000, 0.500], [0.500, 0.500, 0.000]], "e_form_raw_kj_per_mol_atoms": -50.9, "mass_density_g_cm3": 6.71, "spacegroup": "No. 123"}


| no. | final energy (eV/cell) |
| --- | --- |
| 1 | -75.1 |
| 2 | -44.6 |
| 3 | -15.3 |
| 4 | -83.6 |
| 5 | -64.6 |
| 6 | -8.9 |
| 7 | -44.5 |
| 8 | -20.5 |